(1)
## Ba2CeCdO5 (PBE)

Data for Ba2CeCdO5 after structural relaxation.

Cell: 3.886 14.554 11.268 Å, 90.00 90.00 90.00°
Space group Cmc2_1 (No. 36)
Unique sites:
Ba 0.000 0.117 0.000
Ba 0.000 0.139 0.598
Ce 0.000 0.456 0.785
Cd 0.000 0.231 0.323
O 0.000 0.052 0.371
O 0.000 0.293 0.951
O 0.000 0.313 0.693
O 0.000 0.388 0.322
O 0.000 0.499 0.605

total moment: 0.0 μB per cell
Fermi-level density of states: 0.00 states/eV/cell
formation energy from raw total energies: -2.45 eV/atom

***

(2)
## KLiTb2Te4 (PBE)

Data for KLiTb2Te4 after structural relaxation.

Cell: 4.481 14.963 15.736 Å, 90.00 90.00 90.00°
Space group Cmcm (No. 63)
Unique sites:
K 0.000 0.114 0.250
Li 0.000 0.163 0.750
Tb 0.000 0.367 0.064
Te 0.000 0.000 0.000
Te 0.000 0.268 0.609
Te 0.000 0.436 0.250

total moment: 0.0 μB per cell
formation energy from raw total energies: -1.33 eV/atom

***

(3)
## PmGaBr4 (PBE)

Data for PmGaBr4 after structural relaxation.

Cell: 15.732 4.356 7.925 Å, 90.00 118.50 90.00°
Space group C2/m (No. 12)
Unique sites:
Pm 0.000 0.000 0.000
Ga 0.000 0.500 0.500
Br 0.111 0.000 0.805
Br 0.117 0.500 0.254

total moment: 0.0 μB per cell
Fermi-level density of states: 0.00 states/eV/cell
formation energy from raw total energies: -1.42 eV/atom

***

(4)
## TlGaTeS4 (PBE)

Data for TlGaTeS4 after structural relaxation.

Cell: 6.753 7.063 8.586 Å, 90.00 107.75 90.00°
Space group P2_1/m (No. 11)
Unique sites:
Tl 0.230 0.250 0.046
Ga 0.250 0.750 0.329
Te 0.228 0.250 0.515
S 0.027 0.002 0.286
S 0.479 0.750 0.593
S 0.490 0.750 0.195

total moment: 0.0 μB per cell
formation energy from raw total energies: -0.24 eV/atom

***

(5)
## Hg2PRh (PBE)

Data for Hg2PRh after structural relaxation.

Cell: 3.814 4.267 8.881 Å, 90.00 90.00 90.00°
Space group Immm (No. 71)
Unique sites:
Hg 0.000 0.000 0.243
P 0.000 0.500 0.500
Rh 0.000 0.500 0.000

E: -2.92 eV/atom
total moment: 0.0 μB per cell
Fermi-level density of states: 6.87 states/eV/cell

***

(6)
## POsRh2 (PBE)

Data for POsRh2 after structural relaxation.

Cell: 5.043 5.043 12.061 Å, 90.00 90.00 90.00°
Space group I-42d (No. 122)
Unique sites:
P 0.000 0.000 0.000
Os 0.000 0.000 0.500
Rh 0.222 0.250 0.125

E: -7.31 eV/atom
total moment: 0.0 μB per cell
Fermi-level density of states: 14.00 states/eV/cell

***

(7)
## LaCdIN2 (PBE)

Data for LaCdIN2 after structural relaxation.

Cell: 4.406 4.406 6.840 Å, 90.00 90.00 90.00°
Space group P4/mmm (No. 123)
Unique sites:
La 0.000 0.000 0.000
Cd 0.500 0.500 0.500
I 0.000 0.000 0.500
N 0.000 0.500 0.000

total moment: 0.4 μB per cell
Fermi-level density of states: 1.83 states/eV/cell
formation energy from raw total energies: 0.51 eV/atom

***

(8)
## TbY2Ho2Sc2 (PBE)

Data for TbY2Ho2Sc2 after structural relaxation.

Cell: 11.160 3.396 11.560 Å, 90.00 102.63 90.00°
Space group C2/m (No. 12)
Unique sites:
Tb 0.000 0.000 0.000
Y 0.055 0.000 0.305
Ho 0.201 0.500 0.860
Sc 0.144 0.500 0.559

E: -5.45 eV/atom
total moment: 0.0 μB per cell
Fermi-level density of states: 28.60 states/eV/cell

***

(9)
## NdTh2Mo (PBE)

Data for NdTh2Mo after structural relaxation.

Cell: 3.5119 3.5119 33.1307 Å, 90.00 90.00 120.00°
Space group R-3m (No. 166, hexagonal axes)
Unique sites:
Nd 0.0000 0.0000 0.0000
Th 0.0000 0.0000 0.1006
Mo 0.0000 0.0000 0.5000

E: -7.15 eV/atom
total moment: 0.0 μB per cell
Fermi-level density of states: 15.28 states/eV/cell

***

(10)
## VInSi (PBE)

Data for VInSi after structural relaxation.

Cell: 5.020 3.487 6.240 Å, 90.00 102.85 90.00°
Space group Pm (No. 6)
Unique sites:
V 0.000 0.000 0.000
V 0.293 0.500 0.250
In 0.124 0.500 0.669
In 0.598 0.000 0.587
Si 0.501 0.000 0.028
Si 0.799 0.500 0.222

total moment: 0.0 μB per cell
Fermi-level density of states: 3.04 states/eV/cell
formation energy from raw total energies: -0.06 eV/atom

***

(11)
## As2RuSeF (PBE)

Data for As2RuSeF after structural relaxation.

Cell: 4.753 4.753 4.900 Å, 90.00 90.00 90.00°
Space group P4/mmm (No. 123)
Unique sites:
As 0.000 0.500 0.000
Ru 0.000 0.000 0.000
Se 0.000 0.000 0.500
F 0.500 0.500 0.500

total moment: 0.9 μB per cell
Fermi-level density of states: 6.86 states/eV/cell
formation energy from raw total energies: 0.26 eV/atom

***

(12)
## HfVAg (PBE)

Data for HfVAg after structural relaxation.

Cell: 4.4483 4.4483 20.9682 Å, 90.00 90.00 120.00°
Space group R-3m (No. 166, hexagonal axes)
Unique sites:
Hf 0.0000 0.0000 0.0727
V 0.0000 0.0000 0.1936
Ag 0.0000 0.0000 0.3546

E: -6.64 eV/atom
total moment: 0.0 μB per cell
Fermi-level density of states: 20.45 states/eV/cell

***

(13)
## Ac3GeO (PBE)

Data for Ac3GeO after structural relaxation.

Cell: 5.216 5.216 5.216 Å, 90.00 90.00 90.00°
Space group Pm-3m (No. 221)
Unique sites:
Ac 0.000 0.000 0.500
Ge 0.500 0.500 0.500
O 0.000 0.000 0.000

total moment: 0.0 μB per cell
Fermi-level density of states: 2.84 states/eV/cell
formation energy from raw total energies: -1.20 eV/atom

***

(14)
## Pu8AlIr6 (PBE)

Data for Pu8AlIr6 after structural relaxation.

Cell: 6.2022 6.2022 25.9882 Å, 90.00 90.00 120.00°
Space group R-3 (No. 148, hexagonal axes)
Unique sites:
Pu 0.0000 0.0000 0.1656
Pu 0.0014 0.3424 0.6422
Al 0.0000 0.0000 0.5000
Ir 0.0050 0.2827 0.4299

E: -11.55 eV/atom
total moment: 26.5 μB per cell
Fermi-level density of states: 114.21 states/eV/cell

***

(15)
## KRe2S3 (PBE)

Data for KRe2S3 after structural relaxation.

Cell: 19.767 3.124 8.404 Å, 90.00 104.81 90.00°
Space group C2/m (No. 12)
Unique sites:
K 0.089 0.000 0.046
Re 0.072 0.500 0.562
Re 0.191 0.000 0.523
S 0.011 0.500 0.282
S 0.141 0.000 0.743
S 0.194 0.500 0.318

total moment: 0.0 μB per cell
Fermi-level density of states: 6.75 states/eV/cell
formation energy from raw total energies: -0.45 eV/atom

***

(16)
## Rb2Bi2I (PBE)

Data for Rb2Bi2I after structural relaxation.

Cell: 9.787 9.787 5.050 Å, 90.00 90.00 90.00°
Space group P4/mbm (No. 127)
Unique sites:
Rb 0.195 0.305 0.000
Bi 0.100 0.600 0.500
I 0.000 0.000 0.500

total moment: 0.0 μB per cell
Fermi-level density of states: 2.42 states/eV/cell
formation energy from raw total energies: -0.46 eV/atom

***

(17)
## NpCoTcAs2 (PBE)

Data for NpCoTcAs2 after structural relaxation.

Cell: 4.029 4.029 10.612 Å, 90.00 90.00 90.00°
Space group I-4m2 (No. 119)
Unique sites:
Np 0.000 0.000 0.000
Co 0.000 0.500 0.750
Tc 0.000 0.500 0.250
As 0.000 0.000 0.372

E: -8.26 eV/atom
total moment: 8.2 μB per cell
Fermi-level density of states: 24.65 states/eV/cell

***

(18)
## ReAs2Cl (PBE)

Data for ReAs2Cl after structural relaxation.

Cell: 4.533 4.533 6.393 Å, 90.00 90.00 90.00°
Space group I-4m2 (No. 119)
Unique sites:
Re 0.000 0.000 0.000
As 0.000 0.000 0.500
As 0.000 0.500 0.750
Cl 0.000 0.500 0.250

total moment: 0.0 μB per cell
Fermi-level density of states: 5.37 states/eV/cell
formation energy from raw total energies: 0.78 eV/atom

***

(19)
## DyInAg2S4 (PBE)

Data for DyInAg2S4 after structural relaxation.

Cell: 7.681 8.093 10.887 Å, 90.00 90.00 90.00°
Space group Imma (No. 74)
Unique sites:
Dy 0.000 0.000 0.000
In 0.250 0.250 0.250
Ag 0.000 0.000 0.500
Ag 0.250 0.250 0.750
S 0.000 0.025 0.253
S 0.242 0.250 0.993

total moment: 0.0 μB per cell
Fermi-level density of states: 0.26 states/eV/cell
formation energy from raw total energies: -0.79 eV/atom

***

(20)
## Cr3TePd (PBE)

Data for Cr3TePd after structural relaxation.

Cell: 4.914 4.914 4.914 Å, 90.00 90.00 90.00°
Space group Pm-3m (No. 221)
Unique sites:
Cr 0.000 0.000 0.500
Te 0.500 0.500 0.500
Pd 0.000 0.000 0.000

total moment: 13.4 μB per cell
Fermi-level density of states: 5.11 states/eV/cell
formation energy from raw total energies: 0.98 eV/atom

***

(21)
## BaTmZnCd (PBE)

Data for BaTmZnCd after structural relaxation.

Cell: 7.781 7.781 7.781 Å, 90.00 90.00 90.00°
Space group F-43m (No. 216)
Unique sites:
Ba 0.000 0.000 0.000
Tm 0.000 0.000 0.500
Zn 0.250 0.250 0.750
Cd 0.250 0.250 0.250

E: -2.25 eV/atom
total moment: 0.0 μB per cell
Fermi-level density of states: 9.53 states/eV/cell

***

(22)
## MnZnH2Pd5 (PBE)

Data for MnZnH2Pd5 after structural relaxation.

Cell: 3.948 3.948 7.720 Å, 90.00 90.00 90.00°
Space group P4/mmm (No. 123)
Unique sites:
Mn 0.000 0.000 0.000
Zn 0.500 0.500 0.500
H 0.000 0.000 0.258
Pd 0.000 0.000 0.500
Pd 0.000 0.500 0.235

E: -4.91 eV/atom
total moment: 4.7 μB per cell
Fermi-level density of states: 3.75 states/eV/cell

***

(23)
## Li2NiAg (PBE)

Data for Li2NiAg after structural relaxation.

Cell: 3.033 3.033 6.278 Å, 90.00 90.00 90.00°
Space group P4mm (No. 99)
Unique sites:
Li 0.000 0.000 0.000
Li 0.500 0.500 0.276
Ni 0.000 0.000 0.479
Ag 0.500 0.500 0.735

E: -3.07 eV/atom
total moment: 0.0 μB per cell
Fermi-level density of states: 1.14 states/eV/cell

***

(24)
## Ca2CuPt (PBE)

Data for Ca2CuPt after structural relaxation.

Cell: 5.727 4.333 8.110 Å, 90.00 110.65 90.00°
Space group P2_1/m (No. 11)
Unique sites:
Ca 0.211 0.250 0.434
Ca 0.223 0.250 0.925
Cu 0.364 0.750 0.218
Pt 0.369 0.750 0.717

E: -4.15 eV/atom
total moment: 0.0 μB per cell
Fermi-level density of states: 2.57 states/eV/cell